# GGA-PBE Er2AgSb4, relaxed
# Total moment ... 0.0 μB per formula unit
# Crystal system ... tetragonal
# ΔE_f (raw) ... -0.58 eV per atom
data_Er2AgSb4
_space_group_name_H-M_alt 'P -4 m 2'
_space_group_IT_number 115
_space_group_name_Hall 'P -4 -2'
_cell_length_a 4.3815
_cell_length_b 4.3815
_cell_length_c 9.6500
_cell_angle_alpha 90.00
_cell_angle_beta 90.00
_cell_angle_gamma 90.00
loop_
_atom_site_label
_atom_site_fract_x
_atom_site_fract_y
_atom_site_fract_z
Er1 0.0000 0.5000 0.2493
Ag1 0.5000 0.5000 0.0000
Sb1 0.0000 0.0000 0.5000
Sb2 0.0000 0.5000 0.8293
Sb3 0.5000 0.5000 0.5000


# GGA-PBE CuNi3Bi, relaxed
# Total moment ... 0.7 μB per formula unit
# Calculated formation energy ... 723 meV/atom
# Crystal system ... cubic
data_CuNi3Bi
_space_group_name_H-M_alt 'P m -3 m'
_space_group_IT_number 221
_space_group_name_Hall '-P 4 2 3'
_cell_length_a 4.3732
_cell_length_b 4.3732
_cell_length_c 4.3732
_cell_angle_alpha 90.00
_cell_angle_beta 90.00
_cell_angle_gamma 90.00
loop_
_atom_site_label
_atom_site_fract_x
_atom_site_fract_y
_atom_site_fract_z
Cu1 0.0000 0.0000 0.0000
Ni1 0.0000 0.0000 0.5000
Bi1 0.5000 0.5000 0.5000


# GGA-PBE PuAlTl2, relaxed
# Total moment ... 5.7 μB per formula unit
# Calculated formation energy ... -4 meV/atom
# Crystal system ... tetragonal
data_PuAlTl2
_space_group_name_H-M_alt 'P 4/m m m'
_space_group_IT_number 123
_space_group_name_Hall '-P 4 2'
_cell_length_a 4.6065
_cell_length_b 4.6065
_cell_length_c 4.6827
_cell_angle_alpha 90.00
_cell_angle_beta 90.00
_cell_angle_gamma 90.00
loop_
_atom_site_label
_atom_site_fract_x
_atom_site_fract_y
_atom_site_fract_z
Pu1 0.0000 0.0000 0.0000
Al1 0.5000 0.5000 0.0000
Tl1 0.0000 0.5000 0.5000


# GGA-PBE MgNiSe, relaxed
# Total moment ... 0.3 μB per formula unit
# Crystal system ... monoclinic
# ΔE_f (raw) ... -0.44 eV per atom
data_MgNiSe
_space_group_name_H-M_alt 'C 1 m 1'
_space_group_IT_number 8
_space_group_name_Hall 'C -2y'
_cell_length_a 6.9962
_cell_length_b 4.0444
_cell_length_c 7.9370
_cell_angle_alpha 90.00
_cell_angle_beta 106.99
_cell_angle_gamma 90.00
loop_
_atom_site_label
_atom_site_fract_x
_atom_site_fract_y
_atom_site_fract_z
Mg1 0.0000 0.0000 0.0000
Mg2 0.1973 0.0000 0.5905
Ni1 0.2878 0.5000 0.3588
Ni2 0.4945 0.0000 0.4808
Se1 0.0981 0.5000 0.7932
Se2 0.3948 0.0000 0.1858


# GGA-PBE Nd4NiRu, relaxed
# Total moment ... 0.0 μB per formula unit
# Calculated formation energy ... -182 meV/atom
# Crystal system ... monoclinic
data_Nd4NiRu
_space_group_name_H-M_alt 'C 1 2/c 1'
_space_group_IT_number 15
_space_group_name_Hall '-C 2yc'
_cell_length_a 9.0729
_cell_length_b 13.5946
_cell_length_c 6.4396
_cell_angle_alpha 90.00
_cell_angle_beta 125.05
_cell_angle_gamma 90.00
loop_
_atom_site_label
_atom_site_fract_x
_atom_site_fract_y
_atom_site_fract_z
Nd1 0.1365 0.1763 0.1091
Nd2 0.1957 0.4328 0.2634
Ni1 0.0000 0.3694 0.7500
Ru1 0.0000 0.0034 0.7500


# GGA-PBE Na2Ta3Cl9, relaxed
# Total moment ... 0.0 μB per formula unit
# Crystal system ... monoclinic
# ΔE_f (raw) ... -1.41 eV per atom
data_Na2Ta3Cl9
_space_group_name_H-M_alt 'C 1 2/m 1'
_space_group_IT_number 12
_space_group_name_Hall '-C 2y'
_cell_length_a 9.6315
_cell_length_b 16.3177
_cell_length_c 9.4834
_cell_angle_alpha 90.00
_cell_angle_beta 113.33
_cell_angle_gamma 90.00
loop_
_atom_site_label
_atom_site_fract_x
_atom_site_fract_y
_atom_site_fract_z
Na1 0.1208 0.1591 0.3529
Ta1 0.1323 0.4116 0.1426
Ta2 0.1360 0.5000 0.8789
Cl1 0.0000 0.2886 0.0000
Cl2 0.0024 0.3944 0.6860
Cl3 0.1811 0.0000 0.6603
Cl4 0.1809 0.1067 0.9737
Cl5 0.1922 0.0000 0.2774
Cl6 0.1940 0.2017 0.6651